1.
This record from OQMD via LeMat-Bulk describes crystalline AcCdOs at its relaxed geometry. The functional is PBE-GGA.

The structure in POSCAR format:
```
AcCdOs
1.0
0.519 -1.777 4.683
2.062 2.886 3.574
-2.859 1.830 3.719
Cd Ac Os
1 1 1
Cartesian
-0.070 0.735 2.994
0.000 0.000 0.000
-0.209 2.204 8.982
```

Properties
* formation energy from the elements: 108.6 kJ/mol of atoms
* SG: F-43m, No. 216
* size of the total moment: 0.98 μB/f.u.
* polymorph energy (0 for the lowest one): 364.8 meV/atom
* ρ: 9.74 g/cm3

***

2.
This record from OQMD via LeMat-Bulk describes crystalline KTaAgTeSe2 at its relaxed geometry. The functional is PBE-GGA.

The structure in POSCAR format:
```
KTaAgTeSe2
1.0
1.913 -7.976 0.000
1.913 7.976 0.000
0.000 0.000 10.668
K Te Ag Se Ta
2 2 2 4 2
Cartesian
1.913 -4.365 2.667
1.913 4.365 8.001
1.913 -6.634 8.001
1.913 6.634 2.667
1.913 0.655 2.667
1.913 -0.655 8.001
1.913 -1.819 10.280
1.913 1.819 4.946
1.913 -1.819 5.722
1.913 1.819 0.388
0.000 0.000 0.000
0.000 0.000 5.334
```

Properties
* SG: Cmcm, No. 63
* energy: -58.029 eV for the cell shown
* size of the total moment: 0.48 μB/f.u.
* ρ: 6.26 g/cm3

***

3.
This record from OQMD via LeMat-Bulk describes crystalline Sc2Pd5Pt at its relaxed geometry. The functional is PBE-GGA.

The structure in POSCAR format:
```
Sc2Pd5Pt
1.0
5.648 0.000 0.000
0.000 11.300 0.000
0.000 0.000 4.007
Pd Sc Pt
10 4 2
Cartesian
4.233 4.234 2.004
2.824 0.000 0.000
0.000 5.650 0.000
2.828 8.475 0.000
1.409 1.416 2.004
4.239 9.884 2.004
5.644 2.825 0.000
0.004 8.475 0.000
1.415 7.065 2.004
2.820 2.825 0.000
1.422 4.249 2.004
1.402 9.899 2.004
4.226 7.051 2.004
4.246 1.401 2.004
0.000 0.000 0.000
2.824 5.650 0.000
```

Properties
* formation energy from the elements: -85.9 kJ/mol of atoms
* SG: Pbam, No. 55
* size of the total moment: 0.00 μB/f.u.
* ρ: 10.61 g/cm3

***

4.
This record from OQMD via LeMat-Bulk describes crystalline HoHf2P3 at its relaxed geometry. The functional is PBE-GGA.

The structure in POSCAR format:
```
HoHf2P3
1.0
-0.898 3.649 0.436
-0.045 -1.561 -3.446
-8.890 -2.327 1.170
P Hf Ho
3 2 1
Cartesian
-6.670 0.327 -0.061
0.000 0.000 0.000
-3.163 -0.566 -1.779
-7.822 -1.785 -1.166
-2.011 1.547 -0.674
-4.445 -1.164 0.585
```

Properties
* SG: P-3m1, No. 164
* energy: -49.001 eV for the cell shown
* size of the total moment: 0.00 μB/f.u.
* ρ: 8.89 g/cm3

***

5.
This record from OQMD via LeMat-Bulk describes crystalline Lu2TaZn at its relaxed geometry. The functional is PBE-GGA.

The structure in POSCAR format:
```
Lu2TaZn
1.0
2.934 -2.023 3.387
-1.824 -1.284 4.382
-0.496 -4.752 1.160
Ta Lu Zn
1 2 1
Cartesian
0.153 -2.015 2.232
0.000 0.000 0.000
0.460 -6.045 6.697
0.307 -4.030 4.465
```

Properties
* formation energy from the elements: 32.3 kJ/mol of atoms
* SG: F-43m, No. 216
* size of the total moment: 0.02 μB/f.u.
* ρ: 11.78 g/cm3

***

6.
This record from OQMD via LeMat-Bulk describes crystalline LiZrCuSe3 at its relaxed geometry. The functional is PBE-GGA.

The structure in POSCAR format:
```
LiZrCuSe3
1.0
7.563 0.000 0.000
0.000 3.969 0.000
0.000 0.000 16.299
Cu Se Li Zr
4 12 4 4
Cartesian
4.569 2.977 10.609
0.788 2.977 13.840
2.994 0.992 5.690
6.775 0.992 2.459
2.797 2.977 15.415
0.018 2.977 1.322
0.984 0.992 7.265
2.345 0.992 3.427
3.763 0.992 9.472
6.578 2.977 9.034
4.766 0.992 0.884
7.544 0.992 14.977
6.126 0.992 4.722
5.218 2.977 12.872
3.800 2.977 6.828
1.437 2.977 11.577
4.280 2.977 3.990
0.498 2.977 4.160
7.065 0.992 12.139
3.283 0.992 12.310
1.813 2.977 8.981
5.750 0.992 7.318
1.968 0.992 0.832
5.595 2.977 15.467
```

Properties
* SG: Pnma, No. 62
* size of the total moment: 0.00 μB/f.u.
* polymorph energy (0 for the lowest one): 117.8 meV/atom
* ρ: 5.41 g/cm3

***

7.
This record from OQMD via LeMat-Bulk describes crystalline GeSbPt at its relaxed geometry. The functional is PBE-GGA.

The structure in POSCAR format:
```
GeSbPt
1.0
6.551 0.000 0.000
0.000 6.515 0.000
-2.925 0.000 5.924
Pt Sb Ge
4 4 4
Cartesian
2.644 3.206 4.212
0.982 3.309 1.712
-0.480 6.464 4.674
4.106 0.052 1.250
-1.464 2.437 5.102
3.627 5.694 3.784
-0.001 0.821 2.140
5.090 4.078 0.822
1.866 0.916 4.897
0.297 4.174 3.990
3.329 2.341 1.934
1.760 5.599 1.028
```

Properties
* SG: P2_1/c, No. 14
* size of the total moment: 0.00 μB/f.u.
* polymorph energy (0 for the lowest one): 0.0 meV/atom
* ρ: 10.23 g/cm3

***

8.
This record from OQMD via LeMat-Bulk describes crystalline PmAsOs at its relaxed geometry. The functional is PBE-GGA.

The structure in POSCAR format:
```
PmAsOs
1.0
-1.176 -3.001 3.215
-3.907 -2.308 -0.361
0.067 -4.459 -0.914
As Os Pm
1 1 1
Cartesian
-1.254 -2.442 0.485
0.000 0.000 0.000
-3.762 -7.326 1.455
```

Properties
* SG: F-43m, No. 216
* size of the total moment: 0.00 μB/f.u.
* polymorph energy (0 for the lowest one): 0.0 meV/atom
* ρ: 10.21 g/cm3

***

9.
This record from OQMD via LeMat-Bulk describes crystalline AcSb2Pt2 at its relaxed geometry. The functional is PBE-GGA.

The structure in POSCAR format:
```
AcSb2Pt2
1.0
-0.836 3.005 -3.641
-4.656 0.088 1.142
1.705 8.136 6.323
Sb Pt Ac
4 4 2
Cartesian
-1.894 5.614 1.912
-0.205 2.520 -1.030
-0.836 7.162 6.103
0.852 4.068 3.161
-2.746 1.547 -1.250
-1.268 5.103 4.502
0.000 0.000 0.000
0.227 4.580 0.571
0.880 7.700 2.996
-1.922 1.983 2.077
```

Properties
* SG: P4/nmm, No. 129
* energy: -57.972 eV for the cell shown
* size of the total moment: 0.00 μB/f.u.
* ρ: 11.91 g/cm3

***

10.
This record from OQMD via LeMat-Bulk describes crystalline HfCdCoAs at its relaxed geometry. The functional is PBE-GGA.

The structure in POSCAR format:
```
HfCdCoAs
1.0
0.000 3.249 3.249
3.249 0.000 3.249
3.249 3.249 0.000
Hf Cd As Co
1 1 1 1
Cartesian
1.625 1.625 1.625
3.249 3.249 3.249
0.000 0.000 0.000
4.874 4.874 4.874
```

Properties
* SG: F-43m, No. 216
* size of the total moment: 0.01 μB/f.u.
* polymorph energy (0 for the lowest one): 0.0 meV/atom
* ρ: 10.28 g/cm3

***

11.
This record from OQMD via LeMat-Bulk describes crystalline AgPd2O4 at its relaxed geometry. The functional is PBE-GGA.

The structure in POSCAR format:
```
AgPd2O4
1.0
0.410 0.766 6.252
3.843 3.223 -3.833
-6.146 1.419 0.227
Pd O Ag
4 8 2
Cartesian
2.267 2.882 -0.502
-2.522 2.363 4.654
-2.727 1.980 1.528
-0.806 3.592 -0.388
-1.487 1.649 -0.106
-1.355 1.708 3.065
-2.292 3.947 1.020
-4.099 2.252 -0.008
-3.967 2.311 3.162
0.681 3.236 -1.795
-2.466 3.621 -1.637
0.854 3.562 0.861
0.000 0.000 0.000
0.692 2.541 2.829
```

Properties
* SG: Fd-3m, No. 227
* energy: -70.178 eV for the cell shown
* ρ: 7.18 g/cm3

***

12.
This record from OQMD via LeMat-Bulk describes crystalline HfSiGe2 at its relaxed geometry. The functional is PBE-GGA.

The structure in POSCAR format:
```
HfSiGe2
1.0
0.697 -3.982 2.432
-2.420 -0.793 3.971
-3.349 -3.321 0.098
Hf Ge Si
1 2 1
Cartesian
-1.268 -2.024 1.625
0.000 0.000 0.000
-3.804 -6.072 4.876
-2.536 -4.048 3.251
```

Properties
* SG: F-43m, No. 216
* energy: -23.678 eV for the cell shown
* size of the total moment: 0.02 μB/f.u.
* ρ: 7.87 g/cm3

***

13.
This record from OQMD via LeMat-Bulk describes crystalline PrDyAg2Sb4 at its relaxed geometry. The functional is PBE-GGA.

The structure in POSCAR format:
```
PrDyAg2Sb4
1.0
4.383 0.000 0.000
0.000 4.383 0.000
0.000 0.000 10.515
Ag Dy Sb Pr
2 1 4 1
Cartesian
2.192 0.000 10.464
0.000 2.192 10.464
0.000 0.000 7.778
2.192 0.000 5.336
0.000 0.000 1.851
2.192 2.192 8.568
0.000 2.192 5.336
2.192 2.192 2.781
```

Properties
* SG: P4mm, No. 99
* energy: -36.738 eV for the cell shown
* size of the total moment: 0.00 μB/f.u.
* ρ: 8.27 g/cm3

***

14.
This record from OQMD via LeMat-Bulk describes crystalline InSnHg3Te4 at its relaxed geometry. The functional is PBE-GGA.

The structure in POSCAR format:
```
InSnHg3Te4
1.0
-5.017 4.196 -2.752
-0.329 -4.158 -5.740
-5.007 -3.931 3.135
Te Hg Sn In
4 3 1 1
Cartesian
-7.542 -0.868 -1.185
-2.650 -0.997 -1.372
-5.259 -0.979 -5.515
-5.254 -4.944 -2.643
-5.012 0.132 0.191
-2.668 -4.045 -1.303
-2.673 0.019 -4.246
-5.176 -1.947 -2.679
0.000 0.000 0.000
```

Properties
* SG: P-43m, No. 215
* energy: -20.389 eV for the cell shown
* ρ: 6.26 g/cm3

***

15.
This record from OQMD via LeMat-Bulk describes crystalline Tl2PdO2 at its relaxed geometry. The functional is PBE-GGA.

The structure in POSCAR format:
```
Tl2PdO2
1.0
0.000 4.184 0.000
3.171 0.000 0.000
-1.586 -2.092 -7.384
Tl O Pd
2 2 1
Cartesian
1.586 2.092 -2.476
0.000 0.000 -4.908
1.586 0.000 -1.294
0.000 2.092 -6.091
0.000 0.000 0.000
```

Properties
* SG: Immm, No. 71
* polymorph energy (0 for the lowest one): 0.0 meV/atom
* ρ: 9.27 g/cm3

***

16.
This record from OQMD via LeMat-Bulk describes crystalline HoZrPa at its relaxed geometry. The functional is PBE-GGA.

The structure in POSCAR format:
```
HoZrPa
1.0
0.000 3.530 3.530
3.530 0.000 3.530
3.530 3.530 0.000
Zr Ho Pa
1 1 1
Cartesian
5.296 5.296 5.296
0.000 0.000 0.000
1.765 1.765 1.765
```

Properties
* formation energy from the elements: 109.8 kJ/mol of atoms
* SG: F-43m, No. 216
* size of the total moment: 1.92 μB/f.u.
* ρ: 9.19 g/cm3

***

17.
This record from OQMD via LeMat-Bulk describes crystalline NiHgBi2 at its relaxed geometry. The functional is PBE-GGA.

The structure in POSCAR format:
```
NiHgBi2
1.0
2.596 1.499 4.239
-2.596 1.499 4.239
0.000 -2.997 4.239
Bi Hg Ni
2 1 1
Cartesian
0.000 0.000 3.179
0.000 0.000 6.358
0.000 0.000 9.538
0.000 0.000 0.000
```

Properties
* SG: F-43m, No. 216
* energy: -12.258 eV for the cell shown
* size of the total moment: 0.00 μB/f.u.
* ρ: 11.37 g/cm3

***

18.
This record from OQMD via LeMat-Bulk describes crystalline BaIrW at its relaxed geometry. The functional is PBE-GGA.

The structure in POSCAR format:
```
BaIrW
1.0
0.000 3.289 3.289
3.289 0.000 3.289
3.289 3.289 0.000
Ba W Ir
1 1 1
Cartesian
1.645 1.645 1.645
0.000 0.000 0.000
4.934 4.934 4.934
```

Properties
* SG: F-43m, No. 216
* size of the total moment: 0.00 μB/f.u.
* polymorph energy (0 for the lowest one): 0.0 meV/atom
* ρ: 11.98 g/cm3

***

19.
This record from OQMD via LeMat-Bulk describes crystalline CdCuRe2 at its relaxed geometry. The functional is PBE-GGA.

The structure in POSCAR format:
```
CdCuRe2
1.0
0.000 3.133 3.133
3.133 0.000 3.133
3.133 3.133 0.000
Re Cd Cu
2 1 1
Cartesian
1.567 1.567 1.567
0.000 0.000 0.000
3.133 3.133 3.133
4.700 4.700 4.700
```

Properties
* formation energy from the elements: 54.8 kJ/mol of atoms
* SG: F-43m, No. 216
* size of the total moment: 0.01 μB/f.u.
* ρ: 14.80 g/cm3

***

20.
This record from OQMD via LeMat-Bulk describes crystalline Tc2Ge3Pb at its relaxed geometry. The functional is PBE-GGA.

The structure in POSCAR format:
```
Tc2Ge3Pb
1.0
-0.516 4.030 -1.263
-3.383 -2.336 1.096
0.689 2.270 6.966
Tc Ge Pb
2 3 1
Cartesian
-1.815 1.805 6.502
-1.395 2.160 0.297
0.000 0.000 0.000
-2.266 0.319 1.943
-0.944 3.646 4.856
0.344 1.135 3.483
```

Properties
* SG: P-3m1, No. 164
* energy: -37.626 eV for the cell shown
* size of the total moment: 0.02 μB/f.u.
* ρ: 8.94 g/cm3